BaLa2Pb | PBEsol | relaxed

It has space group R-3m (No. 166, hexagonal axes), with a = 3.7358 Å, b = 3.7358 Å, c = 35.5889 Å, α = 90.00°, β = 90.00° and γ = 120.00°. The distinct sites, in fractional coordinates, are Ba at (0.0000, 0.0000, 0.0000), La at (0.0000, 0.0000, 0.2414) and Pb at (0.0000, 0.0000, 0.5000).

Its formation energy is -0.055 eV per atom.